1.
A plane-wave DFT calculation with PBE-GGA was carried out for an optimized crystal structure of Zn2TcBS.

POSCAR file:
```
Zn2TcBS
1.0
4.536 0.000 0.000
0.000 4.374 0.000
0.000 0.000 4.536
S Zn B Tc
1 2 1 1
Cartesian
0.000 0.000 0.000
0.000 0.000 2.268
2.268 0.000 0.000
2.268 2.187 2.268
0.000 2.187 0.000
```

Summary:
Formation energy from raw total energies ... 1.39 eV/atom
Total magnetization ... 1.0 μB/f.u.

2.
A plane-wave DFT calculation with PBE-GGA was carried out for an optimized crystal structure of B2TeS.

POSCAR file:
```
B2TeS
1.0
1.656 0.990 3.843
-1.583 3.316 2.234
-2.285 -0.709 3.573
S Te B
1 1 2
Cartesian
0.000 0.000 0.000
-1.106 1.799 4.825
-0.553 0.899 2.412
-1.659 2.698 7.237
```

Summary:
Formation energy from raw total energies ... 1.75 eV/atom
Excess energy over the best structure of this formula in the dataset ... 0.983 eV per atom
Total magnetization ... 0.0 μB/f.u.

These records have total energy values of -3.354, -3.402 eV/atom, in the order they appear.